[1]
# YInBiTe2

A geometry-optimized YInBiTe2 structure (PBE-GGA, Alexandria).

a = 5.8736 Å, b = 5.8736 Å, c = 5.9739 Å
α = 90.00°, β = 90.00°, γ = 90.00°
Positions (direct):
Y 0.0000 0.0000 0.0000
In 0.5000 0.5000 0.5000
Bi 0.0000 0.0000 0.5000
Te 0.0000 0.5000 0.0000
Te 0.5000 0.0000 0.0000

Calculated values
SG: P4/mmm (123)
E_form (uncorrected), kJ/mol of atoms: -15.7



[2]
# Th2InBi

A geometry-optimized Th2InBi structure (PBE-GGA, Alexandria).

a = 4.5603 Å, b = 4.5603 Å, c = 22.4622 Å
α = 90.00°, β = 90.00°, γ = 120.00°
Positions (direct):
Th 0.0000 0.0000 0.2465
Th 0.0000 0.0000 0.7535
Th 0.3333 0.6667 0.4201
Th 0.3333 0.6667 0.9132
Th 0.6667 0.3333 0.0868
Th 0.6667 0.3333 0.5799
In 0.0000 0.0000 0.5000
In 0.3333 0.6667 0.1667
In 0.6667 0.3333 0.8333
Bi 0.0000 0.0000 0.0000
Bi 0.3333 0.6667 0.6667
Bi 0.6667 0.3333 0.3333

Calculated values
Formation energy from the elements, eV per formula unit: -1.22
Energy above the lowest structure with this stoichiometry, eV/f.u.: 0.17
SG: R-3m (166)



[3]
# Th4In5Bi

A geometry-optimized Th4In5Bi structure (PBE-GGA, Alexandria).

a = 10.8883 Å, b = 12.3024 Å, c = 4.6414 Å
α = 90.00°, β = 90.00°, γ = 90.00°
Positions (direct):
Th 0.0480 0.2500 0.2504
Th 0.2500 0.0014 0.7497
Th 0.2500 0.4986 0.7497
Th 0.4520 0.2500 0.2504
Th 0.5480 0.7500 0.7496
Th 0.7500 0.5014 0.2503
Th 0.7500 0.9986 0.2503
Th 0.9520 0.7500 0.7496
In 0.0514 0.5698 0.2498
In 0.0514 0.9302 0.2498
In 0.2500 0.2500 0.7504
In 0.4486 0.5698 0.2498
In 0.4486 0.9302 0.2498
In 0.5514 0.0698 0.7502
In 0.5514 0.4302 0.7502
In 0.7500 0.7500 0.2496
In 0.9486 0.0698 0.7502
In 0.9486 0.4302 0.7502
Bi 0.2500 0.7500 0.7488
Bi 0.7500 0.2500 0.2512

Calculated values
Formation energy from the elements, eV per formula unit: -1.64
SG: Pmmn (59)



[4]
# ThInBi

A geometry-optimized ThInBi structure (PBE-GGA, Alexandria).

a = 5.5129 Å, b = 5.5129 Å, c = 3.3654 Å
α = 90.00°, β = 90.00°, γ = 120.00°
Positions (direct):
Th 0.0000 0.0000 0.0000
In 0.6667 0.3333 0.4978
Bi 0.3333 0.6667 0.5017

Calculated values
Formation energy from the elements, eV per formula unit: -0.51
Energy above the lowest structure with this stoichiometry, eV/f.u.: 0.60
SG: P3m1 (156)



[5]
# Th2InBi

A geometry-optimized Th2InBi structure (PBE-GGA, Alexandria).

a = 7.8478 Å, b = 7.8478 Å, c = 7.8478 Å
α = 90.00°, β = 90.00°, γ = 90.00°
Positions (direct):
Th 0.2500 0.2500 0.2500
Th 0.2500 0.2500 0.7500
Th 0.2500 0.7500 0.2500
Th 0.2500 0.7500 0.7500
Th 0.7500 0.2500 0.2500
Th 0.7500 0.2500 0.7500
Th 0.7500 0.7500 0.2500
Th 0.7500 0.7500 0.7500
In 0.0000 0.0000 0.0000
In 0.0000 0.5000 0.5000
In 0.5000 0.0000 0.5000
In 0.5000 0.5000 0.0000
Bi 0.0000 0.0000 0.5000
Bi 0.0000 0.5000 0.0000
Bi 0.5000 0.0000 0.0000
Bi 0.5000 0.5000 0.5000

Calculated values
Formation energy from the elements, eV per formula unit: -1.07
Energy above the lowest structure with this stoichiometry, eV/f.u.: 0.31
SG: Fm-3m (225)



[6]
# Th2In9Bi

A geometry-optimized Th2In9Bi structure (PBE-GGA, Alexandria).

a = 4.7595 Å, b = 4.7595 Å, c = 14.4433 Å
α = 90.00°, β = 90.00°, γ = 90.00°
Positions (direct):
Th 0.0000 0.0000 0.1599
Th 0.0000 0.0000 0.8401
In 0.0000 0.5000 0.0000
In 0.0000 0.5000 0.3302
In 0.0000 0.5000 0.6698
In 0.5000 0.0000 0.0000
In 0.5000 0.0000 0.3302
In 0.5000 0.0000 0.6698
In 0.5000 0.5000 0.1625
In 0.5000 0.5000 0.5000
In 0.5000 0.5000 0.8375
Bi 0.0000 0.0000 0.5000

Calculated values
Formation energy from the elements, eV per formula unit: -2.16
SG: P4/mmm (123)



[7]
# Th2In3Bi3

A geometry-optimized Th2In3Bi3 structure (PBE-GGA, Alexandria).

a = 4.9038 Å, b = 5.0549 Å, c = 9.2511 Å
α = 90.00°, β = 90.00°, γ = 90.00°
Positions (direct):
Th 0.0000 0.0000 0.2483
Th 0.0000 0.0000 0.7517
In 0.0000 0.5000 0.5000
In 0.5000 0.5000 0.2585
In 0.5000 0.5000 0.7415
Bi 0.0000 0.5000 0.0000
Bi 0.5000 0.0000 0.0000
Bi 0.5000 0.0000 0.5000

Calculated values
Formation energy from the elements, eV per formula unit: -2.73
SG: Pmmm (47)



[8]
# ThInBi

A geometry-optimized ThInBi structure (PBE-GGA, Alexandria).

a = 4.0335 Å, b = 4.0335 Å, c = 10.8242 Å
α = 90.00°, β = 90.00°, γ = 90.00°
Positions (direct):
Th 0.0000 0.0000 0.0000
Th 0.5000 0.5000 0.5000
In 0.0000 0.0000 0.6793
In 0.5000 0.5000 0.1793
Bi 0.0000 0.0000 0.3262
Bi 0.5000 0.5000 0.8262

Calculated values
Formation energy from the elements, eV per formula unit: -0.75
Energy above the lowest structure with this stoichiometry, eV/f.u.: 0.36
SG: I4mm (107)



Results for total energy: -4.036 -5.669 -4.889 -4.850 -5.632 -3.794 -4.678 -4.930 (in eV/atom, following the order of the records).
Results for magnetic moment: 0.0 0.0 0.0 0.0 0.0 0.0 0.0 0.0 (in μB/f.u., following the order of the records).